[1]
# CsTl3Ag | Alexandria | PBE-GGA | optimized geometry
data_CsTl3Ag
_chemical_formula_sum 'Cs4 Tl12 Ag4'
_cell_length_a 9.5503
_cell_length_b 7.4148
_cell_length_c 10.3136
_cell_angle_alpha 90.00
_cell_angle_beta 104.55
_cell_angle_gamma 90.00
_symmetry_space_group_name_H-M 'P 1 21/c 1'
_symmetry_Int_Tables_number 14
loop_
_symmetry_equiv_pos_as_xyz
'x,y,z'
'-x,-y,-z'
'-x,y+1/2,-z+1/2'
'x,-y+1/2,z+1/2'
loop_
_atom_site_label
_atom_site_type_symbol
_atom_site_fract_x
_atom_site_fract_y
_atom_site_fract_z
Cs1 Cs 0.1392 0.0796 0.2080
Tl1 Tl 0.1554 0.6060 0.0645
Tl2 Tl 0.3220 0.5527 0.3817
Tl3 Tl 0.4129 0.1564 0.5684
Ag1 Ag 0.4528 0.7332 0.6540
# Theoretical density, Mg/m³: 8.02
# DOS(E_F), states/eV/atom: 0.43
# Volume, A^3/atom: 35.35
# Total energy, eV/cell: -43.2
# ΔH_f (0 K), eV per atom: -0.0002


[2]
# CsTlAg | Alexandria | PBE-GGA | optimized geometry
data_CsTlAg
_chemical_formula_sum 'Cs2 Tl2 Ag2'
_cell_length_a 4.9513
_cell_length_b 5.8680
_cell_length_c 8.3091
_cell_angle_alpha 90.00
_cell_angle_beta 90.00
_cell_angle_gamma 90.00
_symmetry_space_group_name_H-M 'P m m 2'
_symmetry_Int_Tables_number 25
loop_
_symmetry_equiv_pos_as_xyz
'x,y,z'
'-x,-y,z'
'-x,y,z'
'x,-y,z'
loop_
_atom_site_label
_atom_site_type_symbol
_atom_site_fract_x
_atom_site_fract_y
_atom_site_fract_z
Cs1 Cs 0.0000 0.0000 0.0000
Cs2 Cs 0.5000 0.5000 0.3034
Tl1 Tl 0.0000 0.0000 0.5062
Tl2 Tl 0.0000 0.5000 0.7088
Ag1 Ag 0.5000 0.2408 0.6972
# Theoretical density, Mg/m³: 6.12
# DOS(E_F), states/eV/atom: 0.35
# Volume, A^3/atom: 40.24
# Total energy, eV/cell: -12.1
# ΔH_f (0 K), eV per atom: 0.0041